# MnCl3O

A relaxed MnCl3O crystal (PBE+U, Alexandria).

Cell and atoms, written as POSCAR:
```
MnCl3O
1.0
4.864 0.000 0.000
0.000 4.864 0.000
0.000 0.000 4.864
Mn Cl O
1 3 1
Direct
0.000 0.000 0.000
0.000 0.000 0.500
0.000 0.500 0.000
0.500 0.000 0.000
0.500 0.500 0.500
```

Output
As for the energy above the most stable polymorph in this dataset: 0 meV/atom. The calculation puts the calculated volume at 115 Å³/cell. The density of states at the Fermi level is 4.71 states/eV/cell. Its uncorrected energy is -3.6349 eV per atom.